Entry 1:
Ce2ThH6 | PBE | optimized geometry

Lattice parameters (Å, degrees): 3.8653 5.4374 6.6854 114.00 106.80 90.00
Closest atoms and distances in Å follow each position.
Atoms (fractional coordinates):
Ce1 0.3324 0.3323 0.6646  8 H 2.36-2.38
Ce2 0.6676 0.6677 0.3354  8 H 2.36-2.38
Th1 0.0000 0.0000 0.0000  8 H 2.34-2.36
H1 0.8351 0.0839 0.6699  1 Th 2.34, 3 Ce 2.36-2.37
H2 0.1649 0.4140 0.3301  1 Th 2.34, 3 Ce 2.36-2.37
H3 0.1649 0.9161 0.3301  1 Th 2.34, 3 Ce 2.36-2.37
H4 0.5000 0.2475 0.0000  2 Th 2.36, 2 Ce 2.38
H5 0.8351 0.5860 0.6699  1 Th 2.34, 3 Ce 2.36-2.37
H6 0.5000 0.7525 0.0000  2 Th 2.36, 2 Ce 2.38

=====

Entry 2:
CeTiH4 | PBE | optimized geometry

Lattice parameters (Å, degrees): 5.0283 5.0300 5.8445 115.49 115.48 90.00
Closest atoms and distances in Å follow each position.
Atoms (fractional coordinates):
Ce1 0.3749 0.6249 0.2497  8 H 2.28
Ce2 0.6251 0.3751 0.7503  8 H 2.28
Ti1 0.1249 0.8749 0.7498  8 H 1.98
Ti2 0.8751 0.1251 0.2502  8 H 1.98
H1 0.0000 0.1987 0.0000  2 Ti 1.98, 1 H 2.00
H2 0.5000 0.8013 0.0000  2 Ti 1.98, 1 H 2.00
H3 0.1991 0.5000 0.5000  2 Ti 1.98, 1 H 2.00
H4 0.8009 0.5000 0.5000  2 Ti 1.98, 1 H 2.00
H5 0.1991 0.0000 0.5000  2 Ti 1.98, 1 H 2.00
H6 0.5000 0.1987 0.0000  2 Ti 1.98, 1 H 2.00
H7 0.8009 0.0000 0.5000  2 Ti 1.98, 1 H 2.00
H8 0.0000 0.8013 0.0000  2 Ti 1.98, 1 H 2.00

=====

Entry 3:
CeTi2H | PBE | optimized geometry

Lattice parameters (Å, degrees): 2.9350 2.9350 8.1020 79.56 79.56 60.00
Closest atoms and distances in Å follow each position.
Atoms (fractional coordinates):
H1 0.5000 0.5000 0.5000  6 Ti 2.07
Ce1 0.0000 0.0000 0.0000  2 Ti 2.77, 6 Ce 2.94
Ti1 0.1165 0.1165 0.6504  3 H 2.07
Ti2 0.8835 0.8835 0.3496  3 H 2.07

=====

Entry 4:
CeTi2H | PBE | optimized geometry

Lattice parameters (Å, degrees): 2.8163 2.8163 7.7493 90.00 90.00 90.00
Closest atoms and distances in Å follow each position.
Atoms (fractional coordinates):
H1 0.5000 0.5000 0.0000  8 Ti 2.37
Ce1 0.5000 0.5000 0.5000  4 Ce 2.82
Ti1 0.0000 0.0000 0.8330  4 H 2.37, 1 Ti 2.59
Ti2 0.0000 0.0000 0.1670  4 H 2.37, 1 Ti 2.59

=====

Entry 5:
Ce3Tl2H | PBE | optimized geometry

Lattice parameters (Å, degrees): 5.8776 8.0475 8.1979 79.58 60.31 68.58
Closest atoms and distances in Å follow each position.
Atoms (fractional coordinates):
Ce1 0.5410 0.6576 0.8040  2 H 2.34-2.36
Ce2 0.3463 0.0000 0.1847  1 Ce 2.65
Ce3 0.4590 0.3424 0.1960  2 H 2.34-2.36
Ce4 0.8014 0.6576 0.1960  2 H 2.34-2.36
Ce5 0.1986 0.3424 0.8040  2 H 2.34-2.36
Ce6 0.6537 0.0000 0.8153  1 Ce 2.65
Tl1 0.0000 0.0000 0.0000  8 Ce 3.08-3.36
Tl2 0.5000 0.0000 0.5000  6 Ce 3.13-3.39
Tl3 0.1583 0.6833 0.5000  6 Ce 3.29-3.38
Tl4 0.8417 0.3167 0.5000  6 Ce 3.29-3.38
H1 0.7434 0.5131 0.0000  4 Ce 2.34-2.36
H2 0.2566 0.4869 0.0000  4 Ce 2.34-2.36

=====

Entry 6:
Ce3TlH | PBE | optimized geometry

Lattice parameters (Å, degrees): 5.8946 5.8430 6.6355 90.00 90.00 90.00
Closest atoms and distances in Å follow each position.
Atoms (fractional coordinates):
Ce1 0.7570 0.4293 0.2008  1 H 2.36
Ce2 0.1558 0.4388 0.9567  2 H 2.49-2.50
Ce3 0.4914 0.9388 0.4567  2 H 2.49-2.50
Ce4 0.8902 0.9293 0.7008  1 H 2.36
Ce5 0.4914 0.9388 0.9449  2 H 2.49-2.50
Ce6 0.1559 0.4388 0.4449  2 H 2.49-2.50
Tl1 0.6470 0.4345 0.7008  1 H 2.99, 2 Ce 3.23-3.28
Tl2 0.0002 0.9345 0.2008  1 H 2.99, 2 Ce 3.23-3.28
H1 0.2345 0.1367 0.7008  5 Ce 2.36-2.50
H2 0.4127 0.6367 0.2008  5 Ce 2.36-2.50

=====

Entry 7:
Ce2TlH3 | PBE | optimized geometry

Lattice parameters (Å, degrees): 3.9884 8.1137 8.1152 49.35 75.77 75.77
Closest atoms and distances in Å follow each position.
Atoms (fractional coordinates):
Ce1 0.5000 0.3033 0.6966  6 H 2.56-2.59, 1 Ce 2.67
Ce2 0.5000 0.6967 0.3034  6 H 2.56-2.59, 1 Ce 2.67
Ce3 0.7794 0.7205 0.7207  5 H 2.24-2.43
Ce4 0.2206 0.2795 0.2793  5 H 2.24-2.43
Tl1 0.8923 0.1078 0.1076  1 Tl 3.06, 6 H 3.09-3.25, 6 Ce 3.15-3.25
Tl2 0.1077 0.8922 0.8924  1 Tl 3.06, 6 H 3.09-3.25, 6 Ce 3.15-3.25
H1 0.3174 0.4934 0.8717  4 Ce 2.43-2.59, 1 H 2.56
H2 0.9375 0.5620 0.5630  1 H 1.77
H3 0.6821 0.1290 0.5067  4 Ce 2.43-2.59, 1 H 2.56
H4 0.3179 0.8710 0.4933  4 Ce 2.43-2.59, 1 H 2.56
H5 0.0625 0.4380 0.4370  1 H 1.77
H6 0.6826 0.5066 0.1283  4 Ce 2.43-2.59, 1 H 2.56

=====

Entry 8:
Ce3TlH | PBE | optimized geometry

Lattice parameters (Å, degrees): 4.8913 4.8913 4.8913 90.00 90.00 90.00
Closest atoms and distances in Å follow each position.
Atoms (fractional coordinates):
H1 0.0000 0.0000 0.0000  6 Ce 2.45
Tl1 0.5000 0.5000 0.5000  12 Ce 3.46
Ce1 0.0000 0.5000 0.0000  2 H 2.45
Ce2 0.0000 0.0000 0.5000  2 H 2.45
Ce3 0.5000 0.0000 0.0000  2 H 2.45

=====

These records have uncorrected energy values of -44.2; -59.6; -25.2; -24.1; -53.4; -49.2; -53.0; -24.7 eV for the cell shown, in the order they appear.